[1]
Pm2AgRu | PBE | optimized geometry

The structure in POSCAR format:
```
Pm2AgRu
1.0
0.0000 3.5962 3.5962
3.5962 0.0000 3.5962
3.5962 3.5962 0.0000
Pm Ag Ru
2 1 1
Cartesian
1.7981 1.7981 1.7981 Pm
5.3944 5.3944 5.3944 Pm
0.0000 0.0000 0.0000 Ag
3.5962 3.5962 3.5962 Ru
```

- formation energy from the elements (kJ per mole of atoms) = -22.0
- total moment (μB per formula unit) = 0.00
- ΔE to the lowest computed polymorph (meV/atom) = 52

[2]
Ac3CdAg2 | PBE | optimized geometry

The structure in POSCAR format:
```
Ac3CdAg2
1.0
4.0055 0.0000 0.0000
0.0000 4.0055 0.0000
0.0000 0.0000 11.9649
Ac Cd Ag
3 1 2
Cartesian
0.0000 0.0000 0.0000 Ac
0.0000 0.0000 3.9126 Ac
0.0000 0.0000 8.0523 Ac
2.0028 2.0028 5.9825 Cd
2.0028 2.0028 1.9592 Ag
2.0028 2.0028 10.0057 Ag
```

- formation energy from the elements (kJ per mole of atoms) = -26.8
- total moment (μB per formula unit) = 0.00